1.
Density functional theory data (GGA-PBEsol) for a geometry-optimized TlMo2Os structure.

Lattice parameters (Å, degrees): 3.9236 3.9236 4.1883 90.00 90.00 90.00
Last column: nearest neighbours and their distance in Å.
Fractional positions:
Mo (0.0000, 0.5000, 0.0000)  4 Mo 2.77, 4 Tl 2.87, 4 Os 2.87
Mo (0.5000, 0.0000, 0.0000)  4 Mo 2.77, 4 Tl 2.87, 4 Os 2.87
Os (0.5000, 0.5000, 0.5000)  4 Tl 2.77, 8 Mo 2.87
Tl (0.0000, 0.0000, 0.5000)  4 Os 2.77, 8 Mo 2.87

For the total energy, the calculation gives -35.61 eV for the cell shown. Its density is 15.104 Mg/m³. Its distance to the lowest polymorph of the same formula is 147 meV per atom. The calculation puts the formation energy at 0.692 eV per atom. Its calculated volume is 16.119 Å³/atom.

2.
Density functional theory data (GGA-PBEsol) for a geometry-optimized POsNO2 structure.

Lattice parameters (Å, degrees): 3.8433 3.8433 3.8583 90.00 90.00 90.00
Last column: nearest neighbours and their distance in Å.
Fractional positions:
P (0.5000, 0.5000, 0.5000)  4 N 2.72, 8 O 2.72
Os (0.0000, 0.0000, 0.0000)  4 O 1.92, 2 N 1.93
O (0.0000, 0.5000, 0.0000)  2 Os 1.92
O (0.5000, 0.0000, 0.0000)  2 Os 1.92
N (0.0000, 0.0000, 0.5000)  2 Os 1.93

The calculation puts the raw formation energy at 1.93 eV/f.u. For the total energy, the calculation gives -35.11 eV for the cell shown. Its density is 7.786 Mg/m³. Its calculated volume is 11.398 Å³/atom.

> Number 1 is which compound?

TlMo2Os

> calculated volume of number 1 (TlMo2Os)?

16.119 Å³/atom

Repeat the second record exactly.
Density functional theory data (GGA-PBEsol) for a geometry-optimized POsNO2 structure.

Lattice parameters (Å, degrees): 3.8433 3.8433 3.8583 90.00 90.00 90.00
Last column: nearest neighbours and their distance in Å.
Fractional positions:
P (0.5000, 0.5000, 0.5000)  4 N 2.72, 8 O 2.72
Os (0.0000, 0.0000, 0.0000)  4 O 1.92, 2 N 1.93
O (0.0000, 0.5000, 0.0000)  2 Os 1.92
O (0.5000, 0.0000, 0.0000)  2 Os 1.92
N (0.0000, 0.0000, 0.5000)  2 Os 1.93

The calculation puts the raw formation energy at 1.93 eV/f.u. For the total energy, the calculation gives -35.11 eV for the cell shown. Its density is 7.786 Mg/m³. Its calculated volume is 11.398 Å³/atom.

> The lowest density belongs to which entry?

POsNO2